A relaxed structure of Na2YAgF6. Source: Alexandria via LeMat-Bulk, functional PBE.

Unit cell a=5.934 b=5.992 c=10.770 alpha=90.00 beta=122.69 gamma=90.00
Atoms (fractional coordinates):
Na 0.211 0.024 0.214
Na 0.211 0.476 0.714
Na 0.789 0.524 0.286
Na 0.789 0.976 0.786
Y 0.500 0.000 0.000
Y 0.500 0.500 0.500
Ag 0.000 0.000 0.500
Ag 0.000 0.500 0.000
F 0.153 0.173 0.977
F 0.153 0.327 0.477
F 0.203 0.739 0.869
F 0.203 0.761 0.369
F 0.451 0.154 0.802
F 0.451 0.346 0.302
F 0.549 0.654 0.698
F 0.549 0.846 0.198
F 0.797 0.239 0.631
F 0.797 0.261 0.131
F 0.847 0.673 0.523
F 0.847 0.827 0.023

Computed properties:
Its density of states at the Fermi level is 0.00 states/eV/cell. The value obtained for the raw formation energy is -2.91 eV per atom. The magnetic moment comes out at 0.01 μB per formula unit. Its symmetry is P2_1/c.

A relaxed structure of Na2YAgF6. Source: Alexandria via LeMat-Bulk, functional PBE.

Unit cell a=6.451 b=6.451 c=6.451 alpha=60.00 beta=60.00 gamma=60.00
Atoms (fractional coordinates):
Na 0.250 0.250 0.250
Na 0.750 0.750 0.750
Y 0.000 0.000 0.000
Ag 0.500 0.500 0.500
F 0.237 0.237 0.763
F 0.237 0.763 0.237
F 0.237 0.763 0.763
F 0.763 0.237 0.237
F 0.763 0.237 0.763
F 0.763 0.763 0.237

Computed properties:
Its density of states at the Fermi level is 0.00 states/eV/cell. The value obtained for the raw formation energy is -2.72 eV per atom. The magnetic moment comes out at 0.04 μB per formula unit. Its symmetry is Fm-3m.

A relaxed structure of NaZnAgF4. Source: Alexandria via LeMat-Bulk, functional PBE.

Unit cell a=6.724 b=6.724 c=6.724 alpha=122.58 beta=120.00 gamma=87.79
Atoms (fractional coordinates):
Na 0.000 0.000 0.000
Na 0.500 0.000 0.500
Zn 0.500 0.000 0.000
Zn 0.500 0.500 0.500
Ag 0.129 0.379 0.750
Ag 0.871 0.621 0.250
F 0.288 0.243 0.044
F 0.293 0.276 0.483
F 0.293 0.810 0.017
F 0.301 0.757 0.544
F 0.699 0.243 0.456
F 0.707 0.190 0.983
F 0.707 0.724 0.517
F 0.712 0.757 0.956

Computed properties:
Its density of states at the Fermi level is 0.00 states/eV/cell. The value obtained for the raw formation energy is -2.05 eV per atom. The magnetic moment comes out at 0.00 μB per formula unit. Its symmetry is Imma.